Record 1
First-principles (GGA-PBE) data for a relaxed BaCu3Sn3 crystal, as listed in Alexandria via LeMat-Bulk.

a b c (Å): 7.1111 7.1111 24.4038
angles (deg): 90.00 90.00 120.00
Space group R-3 (No. 148, hexagonal axes)
Symmetry-distinct sites (fractional):
Ba  0.0000  0.0000  0.1610 x6
Cu  0.0208  0.7984  0.9587 x18
Sn  0.0377  0.5872  0.0614 x18

Output
Energy of formation from the pure elements   -0.101 eV/atom
Magnetization   0.0 μB/f.u.
V   1068.7 Å³/cell
Crystal system   trigonal

Record 2
First-principles (GGA-PBE) data for a relaxed BaCu2Sn crystal, as listed in Alexandria via LeMat-Bulk.

a b c (Å): 5.179 5.179 17.400
angles (deg): 90.00 90.00 90.00
Space group I4_1/amd (No. 141, origin choice 2)
Symmetry-distinct sites (fractional):
Ba  0.000  0.250  0.375 x4
Cu  0.000  0.000  0.000 x8
Sn  0.000  0.250  0.875 x4

Output
Energy of formation from the pure elements   -0.127 eV/atom
Magnetization   0.0 μB/f.u.
V   466.8 Å³/cell
Crystal system   tetragonal

Record 3
First-principles (GGA-PBE) data for a relaxed BaCu9Sn4 crystal, as listed in Alexandria via LeMat-Bulk.

a b c (Å): 8.779 8.779 12.624
angles (deg): 90.00 90.00 90.00
Space group I4/mcm (No. 140)
Symmetry-distinct sites (fractional):
Ba  0.000  0.000  0.250 x4
Cu  0.000  0.500  0.000 x4
Cu  0.055  0.204  0.000 x16
Cu  0.108  0.392  0.173 x16
Sn  0.185  0.315  0.375 x16

Output
Energy of formation from the pure elements   -0.150 eV/atom
Magnetization   0.0 μB/f.u.
V   972.9 Å³/cell
Crystal system   tetragonal

Record 4
First-principles (GGA-PBE) data for a relaxed BaCuSn3 crystal, as listed in Alexandria via LeMat-Bulk.

a b c (Å): 6.244 6.244 6.244
angles (deg): 90.00 90.00 90.00
Space group Pm-3m (No. 221)
Symmetry-distinct sites (fractional):
Ba  0.000  0.000  0.000 x1
Cu  0.500  0.500  0.500 x1
Sn  0.000  0.000  0.500 x3

Output
Energy of formation from the pure elements   1.374 eV/atom
Magnetization   0.0 μB/f.u.
V   243.4 Å³/cell
Crystal system   cubic

Record 5
First-principles (GGA-PBE) data for a relaxed BaCu2Sn2 crystal, as listed in Alexandria via LeMat-Bulk.

a b c (Å): 8.625 8.625 3.155
angles (deg): 90.00 90.00 90.00
Space group P4/mbm (No. 127)
Symmetry-distinct sites (fractional):
Ba  0.000  0.000  0.000 x2
Cu  0.148  0.352  0.500 x4
Sn  0.135  0.635  0.000 x4

Output
Energy of formation from the pure elements   0.050 eV/atom
Magnetization   0.0 μB/f.u.
V   234.7 Å³/cell
Crystal system   tetragonal

Record 6
First-principles (GGA-PBE) data for a relaxed Ba2CuSn3 crystal, as listed in Alexandria via LeMat-Bulk.

a b c (Å): 9.479 10.294 16.467
angles (deg): 90.00 90.00 90.00
Space group Fmmm (No. 69)
Symmetry-distinct sites (fractional):
Ba  0.000  0.239  0.000 x8
Ba  0.250  0.250  0.250 x8
Cu  0.000  0.000  0.332 x8
Sn  0.000  0.000  0.174 x8
Sn  0.233  0.000  0.413 x16

Output
Energy of formation from the pure elements   -0.528 eV/atom
Magnetization   0.0 μB/f.u.
V   1606.8 Å³/cell
Crystal system   orthorhombic

Record 7
First-principles (GGA-PBE) data for a relaxed BaCu3Sn crystal, as listed in Alexandria via LeMat-Bulk.

a b c (Å): 5.004 5.004 5.004
angles (deg): 90.00 90.00 90.00
Space group Pm-3m (No. 221)
Symmetry-distinct sites (fractional):
Ba  0.000  0.000  0.000 x1
Cu  0.000  0.500  0.500 x3
Sn  0.500  0.500  0.500 x1

Output
Energy of formation from the pure elements   0.113 eV/atom
Magnetization   0.0 μB/f.u.
V   125.3 Å³/cell
Offset from the most stable computed form   0 meV/atom
Crystal system   cubic

Record 8
First-principles (GGA-PBE) data for a relaxed Ba2CuSn crystal, as listed in Alexandria via LeMat-Bulk.

a b c (Å): 9.108 9.108 7.093
angles (deg): 90.00 90.00 90.00
Space group I-42d (No. 122)
Symmetry-distinct sites (fractional):
Ba  0.208  0.250  0.125 x8
Cu  0.000  0.000  0.000 x4
Sn  0.000  0.000  0.500 x4

Output
Energy of formation from the pure elements   0.004 eV/atom
Magnetization   0.0 μB/f.u.
V   588.3 Å³/cell
Crystal system   tetragonal